Here is a geometry-optimized SrRhWO6 structure from Alexandria. Energies are from GGA+U.

```
9
Lattice="5.295 0.000 0.000 -2.647 4.585 0.000 0.000 0.000 5.407" Properties=species:S:1:pos:R:3 pbc="T T T"
Sr 0.000 0.000 0.000
Rh 0.000 3.057 2.704
W 2.647 1.528 2.704
O 1.985 0.045 3.796
O 1.031 1.696 1.611
O 3.310 0.045 1.611
O 1.694 2.844 3.796
O 4.263 1.696 3.796
O 3.600 2.844 1.611
```

Values from the calculation:
- space-group type = No. 149
- calculated volume (Å³/f.u.) = 131.27
- energy (eV/atom) = -6.9431
- D(E_F) (states/eV per cell) = 5.60